A relaxed ReRhCF2 crystal. Source: Alexandria via LeMat-Bulk, functional GGA-PBE.

CIF file:
```
data_ReRhCF2
_space_group_name_H-M_alt 'P 4/m m m'
_space_group_IT_number 123
_space_group_name_Hall '-P 4 2'
_cell_length_a 4.034
_cell_length_b 4.034
_cell_length_c 4.047
_cell_angle_alpha 90.00
_cell_angle_beta 90.00
_cell_angle_gamma 90.00
loop_
_atom_site_label
_atom_site_type_symbol
_atom_site_fract_x
_atom_site_fract_y
_atom_site_fract_z
Re1 Re 0.000 0.000 0.000
Rh1 Rh 0.500 0.500 0.500
C1 C 0.000 0.000 0.500
F1 F 0.000 0.500 0.000
```

Calculated values
The value obtained for the density of states at the Fermi level is 1.15 states/eV per atom. The spin magnetization is 0.365 μB/atom. The formation energy from raw total energies comes out at 0.448 eV/atom.